Record 1
A relaxed BeIn2Os crystal, computed with GGA-PBE.

## Properties
The raw total energy comes out at -4.476 eV/atom. The energy relative to the elements is 0.632 eV/atom. The density of states at the Fermi level comes out at 10.43 states/eV per cell. The calculation puts the magnetization at 0.000 μB/atom.

a b c (Å): 3.0697 3.0697 25.3516
angles (deg): 90.00 90.00 120.00
Space group R-3m (No. 166, hexagonal axes)
Unique sites:
Be: 0.0000 0.0000 0.0000 [3 per cell]
In: 0.0000 0.0000 0.2534 [6 per cell]
Os: 0.0000 0.0000 0.5000 [3 per cell]


Record 2
A relaxed TiP2 crystal, computed with GGA-PBE.

## Properties
The raw total energy comes out at -7.058 eV/atom. The energy relative to the elements is -0.819 eV/atom. The density of states at the Fermi level comes out at 2.29 states/eV per cell. The calculation puts the magnetization at 0.000 μB/atom.

a b c (Å): 6.1635 3.3449 8.2732
angles (deg): 90.00 90.00 90.00
Space group Pnma (No. 62)
Unique sites:
Ti: 0.2350 0.2500 0.1671 [4 per cell]
P: 0.0857 0.2500 0.8642 [4 per cell]
P: 0.1221 0.2500 0.4601 [4 per cell]


Record 3
A relaxed Ba2LiZn5 crystal, computed with GGA-PBE.

## Properties
The raw total energy comes out at -1.635 eV/atom. The energy relative to the elements is -0.119 eV/atom. The density of states at the Fermi level comes out at 23.19 states/eV per cell. The calculation puts the magnetization at 0.000 μB/atom.

a b c (Å): 4.7686 17.9063 9.5847
angles (deg): 90.00 90.00 90.00
Space group Cmcm (No. 63)
Unique sites:
Ba: 0.0000 0.0000 0.0000 [4 per cell]
Ba: 0.0000 0.2057 0.2500 [4 per cell]
Li: 0.0000 0.4378 0.7500 [4 per cell]
Zn: 0.0000 0.1820 0.6120 [8 per cell]
Zn: 0.0000 0.3448 0.5057 [8 per cell]
Zn: 0.0000 0.4050 0.2500 [4 per cell]